Compound: CdSi2Au
Source: the Alexandria database
Functional: GGA-PBE
Structure: optimized geometry

* calculated density: 8.2 g/cm3
* crystal system: trigonal
* DFT total energy: -13.8 eV per formula unit
* energy relative to the elements, uncorrected: 0.311 eV per atom

abc: 2.8875 2.8875 30.7693
angles: 90.00 90.00 120.00
Space group R-3m (No. 166, hexagonal axes)
Unique sites:
Cd: 0.0000 0.0000 0.0000 (multiplicity 3)
Si: 0.0000 0.0000 0.2403 (multiplicity 6)
Au: 0.0000 0.0000 0.5000 (multiplicity 3)